No. 1
A plane-wave DFT calculation with GGA-PBE was carried out for a relaxed Sr2Zn4Ag3Sn crystal.

Computed properties:
Total magnetization: 0.00 μB per atom
Final energy: -2.353 eV per atom
Energy relative to the elements: -5.8 kcal/mol of atoms

abc: 4.447 4.447 11.535
angles: 90.00 90.00 90.00
Fractional coordinates of all 10 atoms:
Zn 0.000 0.500 0.355
Sr 0.500 0.000 0.243
Zn 0.500 0.000 0.645
Ag 0.000 0.500 0.129
Ag 0.500 0.000 0.871
Ag 0.000 0.000 0.500
Zn 0.000 0.000 0.000
Sr 0.000 0.500 0.757
Sn 0.500 0.500 0.500
Zn 0.500 0.500 0.000

---

No. 2
A plane-wave DFT calculation with GGA-PBE was carried out for a relaxed Sc2PaTl3S6 crystal.

Computed properties:
Total magnetization: 0.06 μB per atom
Final energy: -5.791 eV per atom
Formation energy without anion corrections: -1289 meV per atom

abc: 6.593 6.593 8.490
angles: 97.45 97.45 120.00
Last column: magnetic moment on the atom in μB.
Fractional coordinates of all 12 atoms:
Sc 0.666 0.334 0.000  0.06
S 0.599 0.941 0.824  -0.01
S 0.401 0.059 0.176  -0.01
S 0.717 0.717 0.176  -0.01
Sc 0.334 0.666 0.000  0.06
S 0.283 0.283 0.824  -0.01
Tl 0.829 0.171 0.500  0.01
S 0.941 0.599 0.824  -0.01
Pa 0.000 0.000 0.000  0.46
Tl 0.500 0.500 0.500  0.01
Tl 0.171 0.829 0.500  0.01
S 0.059 0.401 0.176  -0.01

---

No. 3
A plane-wave DFT calculation with GGA-PBE was carried out for a relaxed CdIn2Rh crystal.

Computed properties:
Total magnetization: 0.00 μB per atom
Final energy: -3.467 eV per atom
Energy relative to the elements: -0.7 kcal/mol of atoms

abc: 4.359 4.359 4.106
angles: 90.00 90.00 90.00
Fractional coordinates of all 4 atoms:
Rh 0.500 0.500 0.500
In 0.000 0.500 0.000
In 0.500 0.000 0.000
Cd 0.000 0.000 0.500

---

No. 4
A plane-wave DFT calculation with GGA-PBE was carried out for a relaxed Co3SiH crystal.

Computed properties:
Total magnetization: 0.40 μB per atom
Final energy: -6.201 eV per atom
ΔE to the lowest computed polymorph: 99.3 meV/atom

abc: 5.037 4.097 4.921
angles: 83.10 63.77 89.70
Last column: magnetic moment on the atom in μB.
Fractional coordinates of all 10 atoms:
Co 0.417 0.171 0.342  0.74
H 0.065 0.383 0.565  -0.01
Co 0.874 0.147 0.426  0.56
Co 0.256 0.619 0.705  0.56
Si 0.690 0.665 0.274  -0.04
Co 0.713 0.595 0.789  0.74
Co 0.950 0.082 0.899  0.80
Co 0.180 0.684 0.232  0.80
Si 0.440 0.101 0.857  -0.04
H 0.065 0.383 0.065  -0.01

---

No. 5
A plane-wave DFT calculation with GGA-PBE was carried out for a relaxed NaCeInBi crystal.

Computed properties:
Total magnetization: 0.22 μB per atom
Final energy: -3.771 eV per atom
Energy relative to the elements: -7.0 kcal/mol of atoms

abc: 5.471 5.471 5.471
angles: 60.00 60.00 60.00
Last column: magnetic moment on the atom in μB.
Fractional coordinates of all 4 atoms:
Ce 0.250 0.250 0.250  0.79
Bi 0.000 0.000 0.000  -0.01
Na 0.750 0.750 0.750  0.00
In 0.500 0.500 0.500  0.01

---

No. 6
A plane-wave DFT calculation with GGA-PBE was carried out for a relaxed ZnPbAu crystal.

Computed properties:
Total magnetization: 0.00 μB per atom
Final energy: -2.773 eV per atom
Energy relative to the elements: -0.5 kcal/mol of atoms

abc: 6.206 6.206 3.390
angles: 74.15 74.15 31.70
Fractional coordinates of all 3 atoms:
Pb 0.335 0.335 0.665
Zn 0.634 0.634 0.366
Au 0.031 0.031 0.969

---

No. 7
A plane-wave DFT calculation with GGA-PBE was carried out for a relaxed SrAgSn2Au crystal.

Computed properties:
Total magnetization: 0.00 μB per atom
Final energy: -3.596 eV per atom
Energy relative to the elements: -10.0 kcal/mol of atoms

abc: 4.790 4.790 6.643
angles: 111.13 111.13 90.00
Fractional coordinates of all 5 atoms:
Ag 0.250 0.750 0.500
Sr 0.000 0.000 0.000
Sn 0.625 0.625 0.249
Au 0.750 0.250 0.500
Sn 0.375 0.375 0.751

---

No. 8
A plane-wave DFT calculation with GGA-PBE was carried out for a relaxed HfSi3Ge crystal.

Computed properties:
Total magnetization: 0.00 μB per atom
Final energy: -5.236 eV per atom
ΔE to the lowest computed polymorph: 0.0 meV/atom
Formation energy without anion corrections: 932 meV per atom

abc: 5.038 5.038 5.038
angles: 90.00 90.00 90.00
Fractional coordinates of all 5 atoms:
Si 0.000 0.000 0.500
Si 0.000 0.500 0.000
Ge 0.500 0.500 0.500
Si 0.500 0.000 0.000
Hf 0.000 0.000 0.000

---

No. 9
A plane-wave DFT calculation with GGA-PBE was carried out for a relaxed MnZnRh crystal.

Computed properties:
Total magnetization: 0.00 μB per atom
Final energy: -5.973 eV per atom
Energy relative to the elements: -1.0 kcal/mol of atoms

abc: 2.842 6.973 8.246
angles: 90.00 90.00 90.00
Fractional coordinates of all 12 atoms:
Rh 0.250 0.772 0.833
Zn 0.250 0.357 0.411
Rh 0.250 0.728 0.333
Rh 0.750 0.272 0.667
Mn 0.250 0.990 0.600
Zn 0.750 0.643 0.589
Mn 0.750 0.010 0.400
Zn 0.250 0.143 0.911
Mn 0.750 0.490 0.900
Rh 0.750 0.228 0.167
Mn 0.250 0.510 0.100
Zn 0.750 0.857 0.089

---

No. 10
A plane-wave DFT calculation with GGA-PBE was carried out for a relaxed LaSnN3 crystal.

Computed properties:
Total magnetization: 0.00 μB per atom
Final energy: -5.594 eV per atom
Formation energy without anion corrections: 1187 meV per atom

abc: 4.388 4.388 4.388
angles: 90.00 90.00 90.00
Fractional coordinates of all 5 atoms:
N 0.000 0.000 0.500
N 0.500 0.000 0.000
N 0.000 0.500 0.000
Sn 0.500 0.500 0.500
La 0.000 0.000 0.000

---

No. 11
A plane-wave DFT calculation with GGA-PBE was carried out for a relaxed AlTc2Ru crystal.

Computed properties:
Total magnetization: 0.00 μB per atom
Final energy: -8.616 eV per atom
ΔE to the lowest computed polymorph: 70.5 meV/atom
Energy relative to the elements: -4.1 kcal/mol of atoms

abc: 5.061 5.061 5.061
angles: 145.48 128.80 63.22
Fractional coordinates of all 4 atoms:
Al 0.498 0.498 0.000
Tc 0.745 0.245 0.500
Tc 0.997 0.997 0.000
Ru 0.259 0.759 0.500

---

No. 12
A plane-wave DFT calculation with GGA-PBE was carried out for a relaxed RbAgHg2Br6 crystal.

Computed properties:
Total magnetization: 0.00 μB per atom
Final energy: -2.125 eV per atom
Formation energy without anion corrections: -679 meV per atom

abc: 8.633 10.345 10.345
angles: 77.93 69.60 69.60
Fractional coordinates of all 20 atoms:
Br 0.396 0.426 0.296
Br 0.447 0.900 0.378
Br 0.896 0.296 0.426
Br 0.947 0.378 0.900
Rb 0.250 0.822 0.178
Br 0.553 0.100 0.622
Br 0.053 0.622 0.100
Br 0.156 0.946 0.836
Br 0.656 0.836 0.946
Br 0.844 0.054 0.164
Hg 0.354 0.784 0.637
Hg 0.854 0.637 0.784
Ag 0.750 0.814 0.186
Rb 0.750 0.178 0.822
Hg 0.646 0.216 0.363
Ag 0.250 0.186 0.814
Br 0.104 0.704 0.574
Br 0.344 0.164 0.054
Hg 0.146 0.363 0.216
Br 0.604 0.574 0.704